The following is a PBE calculation of a geometry-optimized BeZn2Br6 structure, from Alexandria.

- Raw formation energy: -789.4 kJ/mol of formula units
- SG: C2/c, No. 15

Unit cell a=6.699 b=9.884 c=9.884 alpha=91.03 beta=71.80 gamma=71.80
Atoms (fractional coordinates):
Br: 0.762 0.209 0.365
Zn: 0.922 0.347 0.183
Be: 0.250 0.228 0.772
Br: 0.546 0.048 0.771
Br: 0.360 0.414 0.787
Br: 0.640 0.586 0.213
Br: 0.454 0.952 0.229
Be: 0.750 0.772 0.228
Br: 0.140 0.213 0.586
Br: 0.238 0.791 0.635
Br: 0.860 0.787 0.414
Br: 0.262 0.365 0.209
Zn: 0.578 0.817 0.653
Br: 0.954 0.229 0.952
Br: 0.738 0.635 0.791
Br: 0.046 0.771 0.048
Zn: 0.422 0.183 0.347
Zn: 0.078 0.653 0.817

The following is a PBE calculation of a geometry-optimized ScFe2Re2 structure, from Alexandria.

- Energy relative to the lowest polymorph listed for this composition: 0.11 eV/f.u.
- Energy of formation from the pure elements: 99 meV/atom
- SG: P4/mbm, No. 127

Unit cell a=7.396 b=7.396 c=2.646 alpha=90.00 beta=90.00 gamma=90.00
Atoms (fractional coordinates):
Fe: 0.331 0.169 0.500
Fe: 0.169 0.669 0.500
Fe: 0.669 0.831 0.500
Re: 0.375 0.875 0.000
Sc: 0.500 0.500 0.000
Re: 0.125 0.375 0.000
Re: 0.625 0.125 0.000
Fe: 0.831 0.331 0.500
Re: 0.875 0.625 0.000
Sc: 0.000 0.000 0.000

The following is a PBE calculation of a geometry-optimized AlNiMo structure, from Alexandria.

- Energy relative to the lowest polymorph listed for this composition: 2.54 eV/f.u.
- Energy of formation from the pure elements: 571 meV/atom
- SG: F-43m, No. 216

Unit cell a=4.140 b=4.140 c=4.140 alpha=60.00 beta=60.00 gamma=60.00
Atoms (fractional coordinates):
Mo: 0.750 0.750 0.750
Al: 0.500 0.500 0.500
Ni: 0.000 0.000 0.000

| no. | E_tot (eV per formula unit) |
| --- | --- |
| 1 | -24.49 |
| 2 | -47.66 |
| 3 | -18.64 |